## TmThSc2Sb4 (PBE)

Data for a geometry-optimized TmThSc2Sb4 structure.

Summary:
theoretical density = 7.23 g/cm³
SG = P2/m
total magnetic moment = 0.00 μB per atom
energy relative to the elements, uncorrected = -0.96 eV per atom
calculated total energy = -6.09 eV/atom

a b c (Å): 7.4193 4.3160 7.4497
angles (deg): 90.00 109.60 90.00
With the nearest neighbours (Å) after each atom.
Fractional positions:
Tm: 0.0000 0.0000 0.0000  6 Sb 3.09
Th: 0.0000 0.5000 0.5000  6 Sb 3.14-3.15
Sc: 0.5000 0.0000 0.5000  6 Sb 3.00
Sc: 0.5000 0.5000 0.0000  6 Sb 2.94
Sb: 0.2655 0.5000 0.2494  3 Sc 2.94-3.00, 2 Tm 3.09, 1 Th 3.14
Sb: 0.2706 0.0000 0.7632  3 Sc 2.94-3.00, 1 Tm 3.09, 2 Th 3.15
Sb: 0.7294 0.0000 0.2368  3 Sc 2.94-3.00, 1 Tm 3.09, 2 Th 3.15
Sb: 0.7345 0.5000 0.7506  3 Sc 2.94-3.00, 2 Tm 3.09, 1 Th 3.14

## Tm2ThScSb4 (PBE)

Data for a geometry-optimized Tm2ThScSb4 structure.

Summary:
theoretical density = 7.87 g/cm³
SG = P2/m
total magnetic moment = 0.00 μB per atom
energy relative to the elements, uncorrected = -0.98 eV per atom
calculated total energy = -5.88 eV/atom

a b c (Å): 7.5095 4.3601 7.5370
angles (deg): 90.00 109.52 90.00
With the nearest neighbours (Å) after each atom.
Fractional positions:
Tm: 0.0000 0.0000 0.0000  6 Sb 3.12
Tm: 0.5000 0.5000 0.0000  6 Sb 3.02
Th: 0.0000 0.5000 0.5000  6 Sb 3.12-3.13
Sc: 0.5000 0.0000 0.5000  6 Sb 3.03
Sb: 0.2613 0.5000 0.2528  3 Tm 3.02-3.12, 2 Sc 3.03, 1 Th 3.12
Sb: 0.2629 0.0000 0.7554  3 Tm 3.02-3.12, 1 Sc 3.03, 2 Th 3.13
Sb: 0.7371 0.0000 0.2446  3 Tm 3.02-3.12, 1 Sc 3.03, 2 Th 3.13
Sb: 0.7387 0.5000 0.7472  3 Tm 3.02-3.12, 2 Sc 3.03, 1 Th 3.12

## YTh2ScSb5 (PBE)

Data for a geometry-optimized YTh2ScSb5 structure.

Summary:
theoretical density = 6.92 g/cm³
SG = P4/mmm
total magnetic moment = 0.00 μB per atom
energy relative to the elements, uncorrected = -0.40 eV per atom
calculated total energy = -5.76 eV/atom

a b c (Å): 5.0084 5.0084 11.5424
angles (deg): 90.00 90.00 90.00
With the nearest neighbours (Å) after each atom.
Fractional positions:
Y: 0.0000 0.0000 0.0000  2 Sb 2.88
Th: 0.5000 0.5000 0.2872  9 Sb 3.32-3.57
Th: 0.5000 0.5000 0.7128  9 Sb 3.32-3.57
Sc: 0.0000 0.0000 0.5000  4 Sb 2.50
Sb: 0.0000 0.0000 0.2497  1 Y 2.88, 1 Sc 2.89
Sb: 0.0000 0.0000 0.7503  1 Y 2.88, 1 Sc 2.89
Sb: 0.0000 0.5000 0.5000  2 Sc 2.50
Sb: 0.5000 0.0000 0.5000  2 Sc 2.50
Sb: 0.5000 0.5000 0.0000  2 Th 3.32, 4 Y 3.54

## Y2ThScSb4 (PBE)

Data for a geometry-optimized Y2ThScSb4 structure.

Summary:
theoretical density = 6.60 g/cm³
SG = P2/m
total magnetic moment = 0.00 μB per atom
energy relative to the elements, uncorrected = -1.04 eV per atom
calculated total energy = -6.43 eV/atom

a b c (Å): 7.5519 4.3871 7.5892
angles (deg): 90.00 109.51 90.00
With the nearest neighbours (Å) after each atom.
Fractional positions:
Y: 0.0000 0.0000 0.0000  6 Sb 3.15-3.16
Y: 0.5000 0.5000 0.0000  6 Sb 3.06
Th: 0.0000 0.5000 0.5000  6 Sb 3.13-3.14
Sc: 0.5000 0.0000 0.5000  6 Sb 3.03-3.04
Sb: 0.2614 0.0000 0.7512  1 Sc 3.03, 3 Y 3.06-3.15, 2 Th 3.14
Sb: 0.2627 0.5000 0.2571  2 Sc 3.04, 3 Y 3.06-3.16, 1 Th 3.13
Sb: 0.7373 0.5000 0.7429  2 Sc 3.04, 3 Y 3.06-3.16, 1 Th 3.13
Sb: 0.7386 0.0000 0.2488  1 Sc 3.03, 3 Y 3.06-3.15, 2 Th 3.14